The following is a DFT calculation (PBE+U) of SrV3O after structural relaxation.

**Relative energy among the computed polymorphs**: 11.43 eV per formula unit
**Raw total energy**: -3.070 eV per atom

Geometry as POSCAR:
```
SrV3O
1.0
5.7835 0.0000 0.0000
0.0000 5.7835 0.0000
0.0000 0.0000 5.7835
V O Sr
3 1 1
Cartesian
2.8917 0.0000 0.0000
0.0000 0.0000 2.8917
0.0000 2.8917 0.0000
2.8917 2.8917 2.8917
0.0000 0.0000 0.0000
```